Density functional theory data (PBE+U) for a relaxed structure of TlVCo2F8.

Cell and atoms, written as POSCAR:
```
TlVCo2F8
1.0
2.650 1.530 7.883
-2.650 1.530 7.883
0.000 -3.060 7.883
Tl V Co F
1 1 2 8
Cartesian
0.000 0.000 0.000
0.000 0.000 11.824
0.000 0.000 5.743
0.000 0.000 17.905
-0.798 -1.396 10.685
-1.608 -0.006 12.963
0.000 0.000 7.612
-0.810 1.389 10.685
0.810 -1.389 12.963
0.000 0.000 16.036
1.608 0.006 10.685
0.798 1.396 12.963
```

Output
Space group: R-3
Total energy, eV per atom: -5.157